1.
Crystalline MgCoSe2N at its relaxed geometry. Source: Alexandria via LeMat-Bulk, functional PBE-GGA.

Computed properties:
**VASP energy**: -3.7482 eV/atom
**Formation energy (no corrections)**: 1.05 eV per atom
**Symmetry**: P4/mmm, No. 123
**M_tot**: 4.96 μB/cell

Lattice parameters (Å, degrees): 5.1118 5.1118 3.9035 90.00 90.00 90.00
Site moments in Bohr magnetons follow the coordinates.
Sites, in units of the cell vectors:
Se: 0.5000 0.0000 0.0000  0.28
Co: 0.5000 0.5000 0.5000  2.31
Mg: 0.0000 0.0000 0.0000  -0.01
Se: 0.0000 0.5000 0.0000  0.28
N: 0.0000 0.0000 0.5000  1.20

2.
Crystalline MgCoSnN at its relaxed geometry. Source: Alexandria via LeMat-Bulk, functional PBE-GGA.

Computed properties:
**VASP energy**: -5.1737 eV/atom
**Formation energy (no corrections)**: 0.08 eV per atom
**Symmetry**: Cm, No. 8
**M_tot**: 0.58 μB/cell

Lattice parameters (Å, degrees): 7.7671 3.2203 5.4159 90.00 103.21 90.00
Site moments in Bohr magnetons follow the coordinates.
Sites, in units of the cell vectors:
Sn: 0.4804 0.5000 0.5135  0.00
N: 0.1040 0.5000 0.0539  0.02
Sn: 0.4804 0.0000 0.0135  0.00
N: 0.1040 0.0000 0.5539  0.02
Mg: 0.8230 0.5000 0.9617  0.00
Co: 0.1238 0.5000 0.3961  0.27
Mg: 0.8230 0.0000 0.4617  0.00
Co: 0.1238 0.0000 0.8961  0.27

3.
Crystalline MgCoSnN at its relaxed geometry. Source: Alexandria via LeMat-Bulk, functional PBE-GGA.

Computed properties:
**VASP energy**: -5.3375 eV/atom
**Formation energy (no corrections)**: -0.08 eV per atom
**Symmetry**: Pm, No. 6
**M_tot**: 0.46 μB/cell

Lattice parameters (Å, degrees): 2.8431 3.2058 6.8248 90.00 101.62 90.00
Site moments in Bohr magnetons follow the coordinates.
Sites, in units of the cell vectors:
Co: 0.0129 0.5000 0.8092  0.42
Sn: 0.3897 0.0000 0.5518  -0.02
Mg: 0.1557 0.0000 0.1080  0.00
N: 0.6049 0.5000 0.9998  0.06

4.
Crystalline MgCoSnN at its relaxed geometry. Source: Alexandria via LeMat-Bulk, functional PBE-GGA.

Computed properties:
**VASP energy**: -5.3937 eV/atom
**Formation energy (no corrections)**: -0.14 eV per atom
**Symmetry**: I4mm, No. 107
**M_tot**: 0.87 μB/cell

Lattice parameters (Å, degrees): 3.1576 3.1576 10.8921 90.00 90.00 90.00
Site moments in Bohr magnetons follow the coordinates.
Sites, in units of the cell vectors:
Co: 0.0000 0.0000 0.6512  0.47
Mg: 0.0000 0.0000 0.9856  0.00
Sn: 0.5000 0.5000 0.7723  -0.02
Sn: 0.0000 0.0000 0.2723  -0.02
N: 0.5000 0.5000 0.9686  0.01
Mg: 0.5000 0.5000 0.4856  0.00
N: 0.0000 0.0000 0.4686  0.01
Co: 0.5000 0.5000 0.1512  0.47

5.
Crystalline MgCoSnN at its relaxed geometry. Source: Alexandria via LeMat-Bulk, functional PBE-GGA.

Computed properties:
**VASP energy**: -5.0249 eV/atom
**Formation energy (no corrections)**: 0.23 eV per atom
**Symmetry**: Cm, No. 8
**M_tot**: 0.32 μB/cell

Lattice parameters (Å, degrees): 3.8245 3.4108 9.9329 90.00 99.04 90.00
Site moments in Bohr magnetons follow the coordinates.
Sites, in units of the cell vectors:
Mg: 0.8251 0.5000 0.9901  0.00
Sn: 0.4308 0.0000 0.7428  -0.01
Co: 0.9280 0.5000 0.7217  0.18
Mg: 0.8251 0.0000 0.4901  0.00
N: 0.2848 0.5000 0.8781  0.01
Sn: 0.4308 0.5000 0.2428  -0.01
Co: 0.9280 0.0000 0.2217  0.18
N: 0.2848 0.0000 0.3781  0.01

6.
Crystalline MgCoSnN at its relaxed geometry. Source: Alexandria via LeMat-Bulk, functional PBE-GGA.

Computed properties:
**VASP energy**: -5.2833 eV/atom
**Formation energy (no corrections)**: -0.03 eV per atom
**Symmetry**: Cm, No. 8
**M_tot**: 1.98 μB/cell

Lattice parameters (Å, degrees): 6.9218 3.1852 5.4479 90.00 105.45 90.00
Site moments in Bohr magnetons follow the coordinates.
Sites, in units of the cell vectors:
N: 0.9707 0.0000 0.0197  0.06
Co: 0.8338 0.0000 0.6410  0.94
Mg: 0.1350 0.0000 0.4092  0.01
Co: 0.8338 0.5000 0.1410  0.94
Sn: 0.5292 0.5000 0.3733  -0.02
N: 0.9707 0.5000 0.5197  0.06
Sn: 0.5292 0.0000 0.8733  -0.02
Mg: 0.1350 0.5000 0.9092  0.01

7.
Crystalline MgCoSnN at its relaxed geometry. Source: Alexandria via LeMat-Bulk, functional PBE-GGA.

Computed properties:
**VASP energy**: -5.1374 eV/atom
**Formation energy (no corrections)**: 0.12 eV per atom
**Symmetry**: Cm, No. 8
**M_tot**: 0.45 μB/cell

Lattice parameters (Å, degrees): 4.6107 3.4153 9.0672 90.00 93.50 90.00
Site moments in Bohr magnetons follow the coordinates.
Sites, in units of the cell vectors:
Sn: 0.6289 0.5000 0.0272  -0.02
Sn: 0.6289 0.0000 0.5272  -0.02
Mg: 0.1960 0.0000 0.2451  0.00
N: 0.9614 0.0000 0.7023  0.01
Co: 0.6824 0.5000 0.3289  0.26
N: 0.9614 0.5000 0.2023  0.01
Co: 0.6824 0.0000 0.8289  0.26
Mg: 0.1960 0.5000 0.7451  0.00

8.
Crystalline MgCoSnN at its relaxed geometry. Source: Alexandria via LeMat-Bulk, functional PBE-GGA.

Computed properties:
**VASP energy**: -5.3689 eV/atom
**Formation energy (no corrections)**: -0.11 eV per atom
**Symmetry**: Pmm2, No. 25
**M_tot**: 0.00 μB/cell

Lattice parameters (Å, degrees): 3.4930 3.6629 5.4893 90.00 90.00 90.00
Sites, in units of the cell vectors:
Co: 0.5000 0.5000 0.6915
Mg: 0.0000 0.0000 0.4720
N: 0.0000 0.5000 0.6623
Sn: 0.5000 0.0000 0.0226

9.
Crystalline MgCoSnN at its relaxed geometry. Source: Alexandria via LeMat-Bulk, functional PBE-GGA.

Computed properties:
**VASP energy**: -5.3263 eV/atom
**Formation energy (no corrections)**: -0.07 eV per atom
**Symmetry**: Cm, No. 8
**M_tot**: 0.68 μB/cell

Lattice parameters (Å, degrees): 7.0399 2.9485 6.7826 90.00 115.67 90.00
Site moments in Bohr magnetons follow the coordinates.
Sites, in units of the cell vectors:
Sn: 0.5430 0.5000 0.5196  -0.01
Co: 0.8195 0.5000 0.3626  0.29
N: 0.9897 0.5000 0.9886  0.05
Mg: 0.1166 0.0000 0.2486  0.00
Mg: 0.1166 0.5000 0.7486  0.00
Co: 0.8195 0.0000 0.8626  0.29
N: 0.9897 0.0000 0.4886  0.05
Sn: 0.5430 0.0000 0.0196  -0.01

10.
Crystalline MgCoSnN at its relaxed geometry. Source: Alexandria via LeMat-Bulk, functional PBE-GGA.

Computed properties:
**VASP energy**: -5.3681 eV/atom
**Formation energy (no corrections)**: -0.11 eV per atom
**Symmetry**: R3m, No. 160
**M_tot**: 0.00 μB/cell

Lattice parameters (Å, degrees): 5.6727 3.7572 6.5080 90.00 112.49 90.00
Sites, in units of the cell vectors:
Mg: 0.0814 0.0000 0.3903
N: 0.1057 0.5000 0.2316
Co: 0.7594 0.0000 0.6162
N: 0.1057 0.0000 0.7316
Co: 0.7594 0.5000 0.1162
Mg: 0.0814 0.5000 0.8903
Sn: 0.5223 0.0000 0.8705
Sn: 0.5223 0.5000 0.3705

11.
Crystalline MgCoSnN at its relaxed geometry. Source: Alexandria via LeMat-Bulk, functional PBE-GGA.

Computed properties:
**VASP energy**: -5.3552 eV/atom
**Formation energy (no corrections)**: -0.10 eV per atom
**Symmetry**: Amm2, No. 38
**M_tot**: 0.00 μB/cell

Lattice parameters (Å, degrees): 3.4735 3.5059 10.8111 90.00 90.00 90.00
Sites, in units of the cell vectors:
Sn: 0.0000 0.0000 0.7637
Mg: 0.5000 0.0000 0.0672
N: 0.5000 0.5000 0.9549
N: 0.5000 0.0000 0.4549
Sn: 0.0000 0.5000 0.2637
Co: 0.0000 0.0000 0.4486
Mg: 0.5000 0.5000 0.5672
Co: 0.0000 0.5000 0.9486

12.
Crystalline MgCoSnN at its relaxed geometry. Source: Alexandria via LeMat-Bulk, functional PBE-GGA.

Computed properties:
**VASP energy**: -5.1634 eV/atom
**Formation energy (no corrections)**: 0.09 eV per atom
**Symmetry**: Cm, No. 8
**M_tot**: 1.40 μB/cell

Lattice parameters (Å, degrees): 7.3276 3.1022 5.2595 90.00 104.11 90.00
Site moments in Bohr magnetons follow the coordinates.
Sites, in units of the cell vectors:
Co: 0.5025 0.0000 0.0514  0.60
Sn: 0.8043 0.0000 0.4893  0.00
N: 0.3703 0.0000 0.6743  0.01
Mg: 0.1684 0.5000 0.4422  0.01
Sn: 0.8043 0.5000 0.9893  0.00
Mg: 0.1684 0.0000 0.9422  0.01
Co: 0.5025 0.5000 0.5514  0.60
N: 0.3703 0.5000 0.1743  0.01

13.
Crystalline MgCoSnN at its relaxed geometry. Source: Alexandria via LeMat-Bulk, functional PBE-GGA.

Computed properties:
**VASP energy**: -5.3250 eV/atom
**Formation energy (no corrections)**: -0.07 eV per atom
**Symmetry**: R3m, No. 160
**M_tot**: 2.82 μB/cell

Lattice parameters (Å, degrees): 3.1590 3.1590 19.9081 90.00 90.00 120.00
Site moments in Bohr magnetons follow the coordinates.
Sites, in units of the cell vectors:
Sn: 0.6667 0.3333 0.8421  0.01
Mg: 0.3333 0.6667 0.3792  0.01
N: 0.3333 0.6667 0.6557  0.06
Sn: 0.0000 0.0000 0.5088  0.01
Sn: 0.3333 0.6667 0.1754  0.01
Co: 0.0000 0.0000 0.2793  0.82
N: 0.0000 0.0000 0.9890  0.06
Mg: 0.0000 0.0000 0.7126  0.01
Co: 0.3333 0.6667 0.9460  0.82
N: 0.6667 0.3333 0.3223  0.06
Mg: 0.6667 0.3333 0.0459  0.01
Co: 0.6667 0.3333 0.6126  0.82